1.
# BaNa2Sb2 | Alexandria | meta-GGA SCAN | PBEsol geometry
data_BaNa2Sb2
_chemical_formula_sum 'Ba1 Na2 Sb2'
_cell_length_a 7.556
_cell_length_b 7.556
_cell_length_c 7.556
_cell_angle_alpha 142.15
_cell_angle_beta 142.15
_cell_angle_gamma 54.60
_space_group_name_H-M_alt 'P 1'
_space_group_IT_number 1
_space_group_name_Hall 'P 1'
loop_
_atom_site_label
_atom_site_fract_x
_atom_site_fract_y
_atom_site_fract_z
_atom_site_occupancy
Ba1 0.000 0.000 0.000 1
Na1 0.250 0.750 0.500 1
Na2 0.750 0.250 0.500 1
Sb1 0.394 0.394 0.000 1
Sb2 0.606 0.606 0.000 1
# total magnetization: 0.00 μB per formula unit
# E_form (uncorrected): -354.4 kJ/mol of formula units
# symmetry: No. 139
# relative energy among the computed polymorphs: 0 meV per atom
# total energy: -25.235 eV/atom

=====

2.
# BaNa2Sb2 | Alexandria | meta-GGA SCAN | PBEsol geometry
data_BaNa2Sb2
_chemical_formula_sum 'Ba2 Na4 Sb4'
_cell_length_a 9.439
_cell_length_b 9.439
_cell_length_c 3.479
_cell_angle_alpha 90.00
_cell_angle_beta 90.00
_cell_angle_gamma 90.00
_space_group_name_H-M_alt 'P 1'
_space_group_IT_number 1
_space_group_name_Hall 'P 1'
loop_
_atom_site_label
_atom_site_fract_x
_atom_site_fract_y
_atom_site_fract_z
_atom_site_occupancy
Ba1 0.000 0.000 0.000 1
Ba2 0.500 0.500 0.000 1
Na1 0.120 0.380 0.500 1
Na2 0.380 0.880 0.500 1
Na3 0.620 0.120 0.500 1
Na4 0.880 0.620 0.500 1
Sb1 0.175 0.675 0.000 1
Sb2 0.325 0.175 0.000 1
Sb3 0.675 0.825 0.000 1
Sb4 0.825 0.325 0.000 1
# total magnetization: 0.16 μB per formula unit
# E_form (uncorrected): -236.4 kJ/mol of formula units
# symmetry: No. 127
# relative energy among the computed polymorphs: 245 meV per atom
# total energy: -24.990 eV/atom

=====

3.
# BaNa3Sc | Alexandria | meta-GGA SCAN | PBEsol geometry
data_BaNa3Sc
_chemical_formula_sum 'Ba1 Na3 Sc1'
_cell_length_a 6.027
_cell_length_b 6.027
_cell_length_c 6.027
_cell_angle_alpha 90.00
_cell_angle_beta 90.00
_cell_angle_gamma 90.00
_space_group_name_H-M_alt 'P 1'
_space_group_IT_number 1
_space_group_name_Hall 'P 1'
loop_
_atom_site_label
_atom_site_fract_x
_atom_site_fract_y
_atom_site_fract_z
_atom_site_occupancy
Ba1 0.000 0.000 0.000 1
Na1 0.000 0.500 0.500 1
Na2 0.500 0.000 0.500 1
Na3 0.500 0.500 0.000 1
Sc1 0.500 0.500 0.500 1
# total magnetization: 2.60 μB per formula unit
# DFT formation energy: 57.2 kJ/mol of atoms
# symmetry: No. 221
# total energy: -12.694 eV/atom

=====

4.
# Ba3NaSi23 | Alexandria | meta-GGA SCAN | PBEsol geometry
data_Ba3NaSi23
_chemical_formula_sum 'Ba6 Na2 Si46'
_cell_length_a 10.241
_cell_length_b 10.241
_cell_length_c 10.241
_cell_angle_alpha 90.00
_cell_angle_beta 90.00
_cell_angle_gamma 90.00
_space_group_name_H-M_alt 'P 1'
_space_group_IT_number 1
_space_group_name_Hall 'P 1'
loop_
_atom_site_label
_atom_site_fract_x
_atom_site_fract_y
_atom_site_fract_z
_atom_site_occupancy
Ba1 0.000 0.250 0.500 1
Ba2 0.000 0.750 0.500 1
Ba3 0.250 0.500 0.000 1
Ba4 0.500 0.000 0.250 1
Ba5 0.500 0.000 0.750 1
Ba6 0.750 0.500 0.000 1
Na1 0.000 0.000 0.000 1
Na2 0.500 0.500 0.500 1
Si1 0.000 0.305 0.120 1
Si2 0.000 0.305 0.880 1
Si3 0.000 0.500 0.250 1
Si4 0.000 0.500 0.750 1
Si5 0.000 0.695 0.120 1
Si6 0.000 0.695 0.880 1
Si7 0.120 0.000 0.305 1
Si8 0.120 0.000 0.695 1
Si9 0.184 0.184 0.184 1
Si10 0.184 0.184 0.816 1
Si11 0.184 0.816 0.184 1
Si12 0.184 0.816 0.816 1
Si13 0.195 0.500 0.380 1
Si14 0.195 0.500 0.620 1
Si15 0.250 0.000 0.500 1
Si16 0.305 0.120 0.000 1
Si17 0.305 0.880 0.000 1
Si18 0.316 0.316 0.316 1
Si19 0.316 0.316 0.684 1
Si20 0.316 0.684 0.316 1
Si21 0.316 0.684 0.684 1
Si22 0.380 0.195 0.500 1
Si23 0.380 0.805 0.500 1
Si24 0.500 0.250 0.000 1
Si25 0.500 0.380 0.195 1
Si26 0.500 0.380 0.805 1
Si27 0.500 0.620 0.195 1
Si28 0.500 0.620 0.805 1
Si29 0.500 0.750 0.000 1
Si30 0.620 0.195 0.500 1
Si31 0.620 0.805 0.500 1
Si32 0.684 0.316 0.316 1
Si33 0.684 0.316 0.684 1
Si34 0.684 0.684 0.316 1
Si35 0.684 0.684 0.684 1
Si36 0.695 0.120 0.000 1
Si37 0.695 0.880 0.000 1
Si38 0.750 0.000 0.500 1
Si39 0.805 0.500 0.380 1
Si40 0.805 0.500 0.620 1
Si41 0.816 0.184 0.184 1
Si42 0.816 0.184 0.816 1
Si43 0.816 0.816 0.184 1
Si44 0.816 0.816 0.816 1
Si45 0.880 0.000 0.305 1
Si46 0.880 0.000 0.695 1
# total magnetization: 0.00 μB per formula unit
# E_form (uncorrected): -249.2 kJ/mol of formula units
# symmetry: No. 223
# total energy: -13.178 eV/atom

=====

5.
# BaNa2Sn2 | Alexandria | meta-GGA SCAN | PBEsol geometry
data_BaNa2Sn2
_chemical_formula_sum 'Ba1 Na2 Sn2'
_cell_length_a 7.734
_cell_length_b 7.734
_cell_length_c 7.734
_cell_angle_alpha 143.20
_cell_angle_beta 143.20
_cell_angle_gamma 53.02
_space_group_name_H-M_alt 'P 1'
_space_group_IT_number 1
_space_group_name_Hall 'P 1'
loop_
_atom_site_label
_atom_site_fract_x
_atom_site_fract_y
_atom_site_fract_z
_atom_site_occupancy
Ba1 0.000 0.000 0.000 1
Na1 0.250 0.750 0.500 1
Na2 0.750 0.250 0.500 1
Sn1 0.401 0.401 0.000 1
Sn2 0.599 0.599 0.000 1
# total magnetization: 0.00 μB per formula unit
# DFT formation energy: -42.9 kJ/mol of atoms
# symmetry: No. 139
# total energy: -24.409 eV/atom

=====

6.
# BaNa3Sn | Alexandria | meta-GGA SCAN | PBEsol geometry
data_BaNa3Sn
_chemical_formula_sum 'Ba1 Na3 Sn1'
_cell_length_a 6.139
_cell_length_b 6.139
_cell_length_c 6.139
_cell_angle_alpha 90.00
_cell_angle_beta 90.00
_cell_angle_gamma 90.00
_space_group_name_H-M_alt 'P 1'
_space_group_IT_number 1
_space_group_name_Hall 'P 1'
loop_
_atom_site_label
_atom_site_fract_x
_atom_site_fract_y
_atom_site_fract_z
_atom_site_occupancy
Ba1 0.000 0.000 0.000 1
Na1 0.000 0.000 0.500 1
Na2 0.000 0.500 0.000 1
Na3 0.500 0.000 0.000 1
Sn1 0.500 0.500 0.500 1
# total magnetization: 0.48 μB per formula unit
# DFT formation energy: 86.7 kJ/mol of atoms
# symmetry: No. 221
# total energy: -16.725 eV/atom

=====

> The highest total energy belongs to which entry?

BaNa3Sc